(i)
DFT (PBE-GGA) results for a relaxed structure of GaSn2Pb8.

abc: 5.8923 8.4187 8.4187
angles: 60.70 77.16 77.16
Closest atoms and distances in Å follow each position.
Sites, in units of the cell vectors:
Pb  0.6450  0.6425  0.6425  1 Sn 3.42, 8 Pb 3.43-3.68
Pb  0.2114  0.7765  0.3625  1 Ga 3.07, 1 Sn 3.25, 1 Pb 3.38
Pb  0.7886  0.6375  0.2235  1 Ga 3.07, 1 Sn 3.25, 1 Pb 3.38
Pb  0.3550  0.3575  0.3575  1 Sn 3.42, 8 Pb 3.43-3.68
Pb  0.0507  0.7750  0.7750  1 Ga 3.21, 2 Sn 3.32-3.34, 6 Pb 3.38-3.53
Pb  0.7886  0.2235  0.6375  1 Ga 3.07, 1 Sn 3.25, 1 Pb 3.38
Pb  0.2114  0.3625  0.7765  1 Ga 3.07, 1 Sn 3.25, 1 Pb 3.38
Pb  0.9493  0.2250  0.2250  1 Ga 3.21, 2 Sn 3.32-3.34, 6 Pb 3.38-3.53
Ga  0.0000  0.0000  0.0000  2 Sn 2.88, 6 Pb 3.07-3.21
Sn  0.4781  0.8859  0.8859  1 Ga 2.88
Sn  0.5219  0.1141  0.1141  1 Ga 2.88

Properties
Density of states at the Fermi level in states/eV per cell: 5.684
V in Å³ per atom: 32.0
Total magnetization in Bohr magnetons per cell: 0.0
Symmetry: C2/m



(ii)
DFT (PBE-GGA) results for a relaxed structure of GaSn2Pb8.

abc: 5.3587 8.1346 8.1342
angles: 104.25 90.06 90.06
Closest atoms and distances in Å follow each position.
Sites, in units of the cell vectors:
Pb  0.0011  0.3007  0.0382  2 Sn 3.30-3.62, 7 Pb 3.37-3.53, 2 Ga 3.59
Pb  0.9989  0.6993  0.9618  2 Sn 3.30-3.62, 7 Pb 3.37-3.53, 2 Ga 3.59
Pb  0.5000  0.2398  0.7602  1 Ga 3.08, 2 Sn 3.23
Pb  0.9989  0.9618  0.6993  2 Sn 3.30-3.62, 7 Pb 3.37-3.53, 2 Ga 3.59
Pb  0.4987  0.6739  0.6739  1 Ga 3.26, 5 Pb 3.47-3.53, 4 Sn 3.53-3.55
Pb  0.5013  0.3261  0.3261  1 Ga 3.26, 5 Pb 3.47-3.53, 4 Sn 3.53-3.55
Pb  0.0011  0.0382  0.3007  2 Sn 3.30-3.62, 7 Pb 3.37-3.53, 2 Ga 3.59
Pb  0.5000  0.7602  0.2398  1 Ga 3.08, 2 Sn 3.23
Ga  0.5000  0.0000  0.0000  4 Pb 3.08-3.26
Sn  0.0000  0.3806  0.6194  1 Sn 3.07, 4 Pb 3.23-3.30
Sn  0.0000  0.6194  0.3806  1 Sn 3.07, 4 Pb 3.23-3.30

Properties
Density of states at the Fermi level in states/eV per cell: 6.237
V in Å³ per atom: 31.2
Total magnetization in Bohr magnetons per cell: 0.0
Symmetry: C2/m



(i) is the least stable structure shown above.